Re7W6 | OQMD via LeMat-Bulk | PBE-GGA | relaxed; calculated volume = 16.0 Å³/atom; M_tot = 0.02 μB per formula unit; energy = -12.309 eV per atom; calculated density = 19.26 g cm⁻³; excess energy over the best structure of this formula in the dataset = 0.2215 eV per atom
1.0
2.555 1.475 9.174
-2.555 1.475 9.174
0.000 -2.950 9.174
Re W
7 6
Direct
0.000 0.000 0.000
0.167 0.167 0.167
0.347 0.347 0.347
0.456 0.456 0.456
0.544 0.544 0.544
0.653 0.653 0.653
0.833 0.833 0.833
0.089 0.089 0.586
0.089 0.586 0.089
0.414 0.911 0.911
0.586 0.089 0.089
0.911 0.414 0.911
0.911 0.911 0.414